LaNiAu2 | GGA-PBE | relaxed

Cell lengths 4.324, 4.324, 4.475 Å; angles 90.00, 90.00, 98.55 degrees
Atoms (fractional coordinates):
1 Au 0.000 0.000 0.000
2 Au 0.500 0.500 0.000
3 Ni 0.000 0.500 0.500
4 La 0.500 0.000 0.500

Computed properties:
- VASP energy: -4.61 eV/atom
- Magnetization: 0.00 μB/f.u.
- Formation energy from the elements: -0.2926 eV/atom



La8Ni2Au | GGA-PBE | relaxed

Cell lengths 6.301, 7.978, 7.978 Å; angles 117.43, 98.91, 98.91 degrees
Atoms (fractional coordinates):
1 La 0.969 0.195 0.765
2 La 0.183 0.382 0.382
3 La 0.590 0.362 0.098
4 La 0.355 0.909 0.634
5 La 0.969 0.765 0.195
6 La 0.590 0.098 0.362
7 La 0.355 0.634 0.909
8 La 0.789 0.641 0.641
9 Au 0.172 0.010 0.010
10 Ni 0.513 0.719 0.320
11 Ni 0.513 0.320 0.719

Computed properties:
- VASP energy: -5.11 eV/atom
- Magnetization: 0.00 μB/f.u.
- Formation energy from the elements: -0.1755 eV/atom



La3NiAu2 | GGA-PBE | relaxed

Cell lengths 4.581, 11.054, 12.648 Å; angles 90.00, 90.00, 90.00 degrees
Atoms (fractional coordinates):
1 Au 0.750 0.301 0.502
2 Au 0.750 0.199 0.002
3 Au 0.750 0.500 0.198
4 Au 0.250 0.699 0.498
5 Au 0.750 0.000 0.698
6 Au 0.250 0.801 0.998
7 Au 0.250 0.000 0.302
8 Au 0.250 0.500 0.802
9 La 0.250 0.440 0.390
10 La 0.250 0.795 0.739
11 La 0.750 0.560 0.610
12 La 0.250 0.060 0.890
13 La 0.750 0.624 0.946
14 La 0.250 0.705 0.239
15 La 0.750 0.940 0.110
16 La 0.250 0.376 0.054
17 La 0.750 0.876 0.446
18 La 0.750 0.295 0.761
19 La 0.250 0.124 0.554
20 La 0.750 0.205 0.261
21 Ni 0.750 0.869 0.879
22 Ni 0.250 0.369 0.621
23 Ni 0.750 0.631 0.379
24 Ni 0.250 0.131 0.121

Computed properties:
- VASP energy: -5.14 eV/atom
- Magnetization: 0.00 μB/f.u.
- Formation energy from the elements: -0.6226 eV/atom



LaNiAu2 | GGA-PBE | relaxed

Cell lengths 3.769, 4.013, 5.565 Å; angles 90.00, 90.00, 90.00 degrees
Atoms (fractional coordinates):
1 La 0.500 0.500 0.250
2 Ni 0.500 0.500 0.750
3 Au 0.000 0.000 0.514
4 Au 0.000 0.000 0.986

Computed properties:
- VASP energy: -4.63 eV/atom
- Magnetization: 0.00 μB/f.u.
- Formation energy from the elements: -0.3147 eV/atom



LaNi3Au | GGA-PBE | relaxed

Cell lengths 4.707, 4.707, 4.707 Å; angles 90.00, 90.00, 90.00 degrees
Atoms (fractional coordinates):
1 Ni 0.000 0.000 0.500
2 Ni 0.500 0.000 0.000
3 Ni 0.000 0.500 0.000
4 Au 0.000 0.000 0.000
5 La 0.500 0.500 0.500

Computed properties:
- VASP energy: -4.72 eV/atom
- Magnetization: 0.00 μB/f.u.
- Formation energy from the elements: 0.3885 eV/atom



La3NiAu | GGA-PBE | relaxed

Cell lengths 8.388, 8.388, 8.545 Å; angles 86.70, 86.70, 27.82 degrees
Atoms (fractional coordinates):
1 Ni 0.288 0.288 0.572
2 Ni 0.712 0.712 0.428
3 La 0.104 0.104 0.540
4 La 0.452 0.452 0.804
5 La 0.896 0.896 0.460
6 La 0.741 0.741 0.798
7 La 0.259 0.259 0.202
8 La 0.548 0.548 0.196
9 Au 0.901 0.901 0.073
10 Au 0.099 0.099 0.927

Computed properties:
- VASP energy: -5.23 eV/atom
- Magnetization: 0.00 μB/f.u.
- Formation energy from the elements: -0.4612 eV/atom



LaNiAu2 | GGA-PBE | relaxed

Cell lengths 3.708, 3.725, 5.993 Å; angles 90.00, 90.00, 90.00 degrees
Atoms (fractional coordinates):
1 Au 0.000 0.000 0.987
2 Au 0.500 0.500 0.222
3 La 0.000 0.000 0.509
4 Ni 0.500 0.500 0.783

Computed properties:
- VASP energy: -4.62 eV/atom
- Magnetization: 0.00 μB/f.u.
- Formation energy from the elements: -0.3029 eV/atom



La8NiAu2 | GGA-PBE | relaxed

Cell lengths 5.260, 7.010, 9.915 Å; angles 108.80, 105.38, 90.00 degrees
Atoms (fractional coordinates):
1 La 0.334 0.994 0.667
2 La 0.588 0.456 0.176
3 La 0.203 0.334 0.406
4 La 0.412 0.544 0.824
5 La 0.020 0.799 0.040
6 La 0.797 0.666 0.594
7 La 0.980 0.201 0.960
8 La 0.666 0.006 0.333
9 Au 0.170 0.736 0.340
10 Au 0.830 0.264 0.660
11 Ni 0.500 0.000 0.000

Computed properties:
- VASP energy: -5.04 eV/atom
- Magnetization: 0.00 μB/f.u.
- Formation energy from the elements: -0.3384 eV/atom



Which formula does entry 2 have? La8Ni2Au



What is the VASP energy in the fifth record? -4.72 eV/atom



Among the records above, which one has the highest VASP energy? number 1



Copy entry 2 word for word.
La8Ni2Au | GGA-PBE | relaxed

Cell lengths 6.301, 7.978, 7.978 Å; angles 117.43, 98.91, 98.91 degrees
Atoms (fractional coordinates):
1 La 0.969 0.195 0.765
2 La 0.183 0.382 0.382
3 La 0.590 0.362 0.098
4 La 0.355 0.909 0.634
5 La 0.969 0.765 0.195
6 La 0.590 0.098 0.362
7 La 0.355 0.634 0.909
8 La 0.789 0.641 0.641
9 Au 0.172 0.010 0.010
10 Ni 0.513 0.719 0.320
11 Ni 0.513 0.320 0.719

Computed properties:
- VASP energy: -5.11 eV/atom
- Magnetization: 0.00 μB/f.u.
- Formation energy from the elements: -0.1755 eV/atom